1.
{
  "formula": "TaNbSn3",
  "functional": "PBE",
  "state": "relaxed",
  "cell": [[5.3222, 0.0000, 0.0000], [0.0000, 5.3222, 0.0000], [0.0000, 0.0000, 5.3222]],
  "species": ["Ta", "Nb", "Sn", "Sn", "Sn"],
  "fractional_positions": [[0.0000, 0.0000, 0.0000], [0.5000, 0.5000, 0.5000], [0.0000, 0.0000, 0.5000], [0.0000, 0.5000, 0.0000], [0.5000, 0.0000, 0.0000]],
  "magmom_total_mub_per_cell": 3.6,
  "formation_energy_ev_per_atom": 1.10,
  "space_group": "No. 221",
  "polymorph_energy_ev_per_fu": 0.00
}

2.
{
  "formula": "TlZn4Fe",
  "functional": "PBE",
  "state": "relaxed",
  "cell": [[0.0000, 3.6794, 3.6794], [3.6794, 0.0000, 3.6794], [3.6794, 3.6794, 0.0000]],
  "species": ["Zn", "Zn", "Zn", "Zn", "Tl", "Fe"],
  "fractional_positions": [[0.3764, 0.8707, 0.3764], [0.3764, 0.3764, 0.3764], [0.8707, 0.3764, 0.3764], [0.3764, 0.3764, 0.8707], [0.0000, 0.0000, 0.0000], [0.7500, 0.7500, 0.7500]],
  "magmom_total_mub_per_cell": 2.7,
  "formation_energy_ev_per_atom": 0.31,
  "space_group": "No. 216"
}

3.
{
  "formula": "AcAlSn",
  "functional": "PBE",
  "state": "relaxed",
  "cell": [[-2.3701, 2.4125, 3.1166], [-1.7073, -3.8693, 5.0901], [4.0347, 2.1894, 4.7669]],
  "species": ["Ac", "Ac", "Al", "Al", "Sn", "Sn"],
  "fractional_positions": [[0.7542, 0.7458, 0.7458], [0.2458, 0.2542, 0.2542], [0.0000, 0.1511, 0.8489], [0.0000, 0.8489, 0.1511], [0.5000, 0.3183, 0.6817], [0.5000, 0.6817, 0.3183]],
  "magmom_total_mub_per_cell": 0.0,
  "formation_energy_ev_per_atom": -0.52,
  "space_group": "No. 71",
  "polymorph_energy_ev_per_fu": 0.06
}

4.
{
  "formula": "Ca3SbP",
  "functional": "PBE",
  "state": "relaxed",
  "cell": [[-6.7817, 2.7826, -4.4720], [-0.8589, -6.2153, 5.6580], [-2.0758, 3.8013, 2.8095]],
  "species": ["P", "P", "Ca", "Ca", "Ca", "Ca", "Ca", "Ca", "Sb", "Sb"],
  "fractional_positions": [[0.0092, 0.8265, 0.8676], [0.5773, 0.9664, 0.8727], [0.6638, 0.1391, 0.3717], [0.3330, 0.1372, 0.0138], [0.5941, 0.6561, 0.0114], [0.9924, 0.1369, 0.7289], [0.9226, 0.6538, 0.3685], [0.2535, 0.6557, 0.7265], [0.4885, 0.3974, 0.5085], [0.0979, 0.3955, 0.2318]],
  "e_form_raw_ev_per_atom": -1.04,
  "magmom_total_mub_per_cell": 0.0,
  "space_group": "No. 2",
  "polymorph_energy_ev_per_fu": 0.29
}

5.
{
  "formula": "PIrO2F",
  "functional": "PBE",
  "state": "relaxed",
  "cell": [[-1.7165, 0.9621, -3.1466], [-1.7552, -3.2697, -0.0422], [-3.8216, 2.0166, 2.7013]],
  "species": ["Ir", "O", "O", "P", "F"],
  "fractional_positions": [[0.0000, 0.0000, 0.0000], [0.5000, 0.0000, 0.0000], [0.0000, 0.5000, 0.0000], [0.0000, 0.0000, 0.5000], [0.5000, 0.5000, 0.5000]],
  "e_form_raw_ev_per_atom": -0.28,
  "magmom_total_mub_per_cell": 0.6,
  "space_group": "No. 123"
}

6.
{
  "formula": "YInAgPb",
  "functional": "PBE",
  "state": "relaxed",
  "cell": [[4.5030, 0.0000, 0.0000], [0.0000, 4.5242, 0.0000], [0.0000, 0.0000, 4.8192]],
  "species": ["In", "Pb", "Ag", "Y"],
  "fractional_positions": [[0.5000, 0.5000, 0.0000], [0.5000, 0.0000, 0.5000], [0.0000, 0.0000, 0.0000], [0.0000, 0.5000, 0.5000]],
  "magmom_total_mub_per_cell": 0.0,
  "formation_energy_ev_per_atom": -0.33,
  "space_group": "No. 47",
  "polymorph_energy_ev_per_fu": 0.00
}

7.
{
  "formula": "Ba2InPPd6",
  "functional": "PBE",
  "state": "relaxed",
  "cell": [[6.5552, -0.0004, 0.0432], [-0.0006, 7.2185, 0.5447], [3.2445, 3.9640, 5.1659]],
  "species": ["Ba", "Ba", "Pd", "Pd", "Pd", "Pd", "Pd", "Pd", "In", "P"],
  "fractional_positions": [[0.2774, 0.7230, 0.4451], [0.7226, 0.2770, 0.5549], [0.7406, 0.2587, 0.0889], [0.7407, 0.8272, 0.5186], [0.1709, 0.2587, 0.0886], [0.2593, 0.1728, 0.4814], [0.8291, 0.7413, 0.9114], [0.2594, 0.7412, 0.9111], [0.0000, 0.0000, 0.0000], [0.5000, 0.5000, 0.0000]],
  "magmom_total_mub_per_cell": 0.0,
  "formation_energy_ev_per_atom": -0.65,
  "space_group": "No. 12"
}

8.
{
  "formula": "CsK2GaH6",
  "functional": "PBE",
  "state": "relaxed",
  "cell": [[-1.3993, -2.3718, 5.7295], [5.6985, 0.4597, 1.5820], [-1.0046, 5.4843, 2.0250]],
  "species": ["H", "H", "H", "H", "H", "H", "K", "K", "Ga", "Cs"],
  "fractional_positions": [[0.7280, 0.1988, 0.1988], [0.0496, 0.5000, 0.5000], [0.7280, 0.1988, 0.8012], [0.7280, 0.8012, 0.8012], [0.3983, 0.0000, 0.0000], [0.7280, 0.8012, 0.1988], [0.9590, 0.5000, 0.0000], [0.9590, 0.0000, 0.5000], [0.6532, 0.0000, 0.0000], [0.5156, 0.5000, 0.5000]],
  "e_tot_ev_per_atom": -2.724,
  "magmom_total_mub_per_cell": 0.0,
  "space_group": "No. 99"
}